Material: Pr4NdSmTm2
Method: DFT, PBE
State: relaxed

```
Pr4NdSmTm2
1.0
5.192 0.000 0.000
0.000 5.070 0.974
0.000 3.158 10.980
Tm Pr Sm Nd
2 4 1 1
Direct
0.500 0.000 0.500
0.000 0.000 0.000
0.500 0.750 0.250
0.000 0.252 0.249
0.500 0.250 0.750
0.000 0.748 0.751
0.500 0.500 0.000
0.000 0.500 0.500
```

Calculated formation energy ... 0.016 eV/atom
N(E_F) ... 11.0 states/eV per cell
Total magnetization ... 0.0 μB/cell
Space-group type ... P2/m, No. 10